(1)
NbSi3Se: optimized geometry, PBE.

Computed properties:
For the total magnetization, the calculation gives 0.0 μB per formula unit. The calculation puts the energy relative to the elements, uncorrected at 1.2801 eV per atom. The calculation puts the energy above the most stable polymorph in this dataset at 421.5 meV per atom.

```
data_NbSi3Se
_space_group_name_H-M_alt 'P m -3 m'
_space_group_IT_number 221
_space_group_name_Hall '-P 4 2 3'
_cell_length_a 4.6503
_cell_length_b 4.6503
_cell_length_c 4.6503
_cell_angle_alpha 90.00
_cell_angle_beta 90.00
_cell_angle_gamma 90.00
loop_
_atom_site_label
_atom_site_fract_x
_atom_site_fract_y
_atom_site_fract_z
Nb1 0.0000 0.0000 0.0000
Si1 0.0000 0.5000 0.5000
Se1 0.5000 0.5000 0.5000
```

(2)
NbSiSe3: optimized geometry, PBE.

Computed properties:
For the total magnetization, the calculation gives 2.0 μB per formula unit. The calculation puts the energy relative to the elements, uncorrected at 0.4757 eV per atom. The calculation puts the energy above the most stable polymorph in this dataset at 989.6 meV per atom.

```
data_NbSiSe3
_space_group_name_H-M_alt 'P m -3 m'
_space_group_IT_number 221
_space_group_name_Hall '-P 4 2 3'
_cell_length_a 4.7600
_cell_length_b 4.7600
_cell_length_c 4.7600
_cell_angle_alpha 90.00
_cell_angle_beta 90.00
_cell_angle_gamma 90.00
loop_
_atom_site_label
_atom_site_fract_x
_atom_site_fract_y
_atom_site_fract_z
Nb1 0.0000 0.0000 0.0000
Si1 0.5000 0.5000 0.5000
Se1 0.0000 0.5000 0.5000
```

(3)
NbSiSe6: optimized geometry, PBE.

Computed properties:
For the total magnetization, the calculation gives 0.0 μB per formula unit. The calculation puts the energy relative to the elements, uncorrected at 0.0158 eV per atom.

```
data_NbSiSe6
_space_group_name_H-M_alt 'C 1 2/m 1'
_space_group_IT_number 12
_space_group_name_Hall '-C 2y'
_cell_length_a 7.5471
_cell_length_b 6.8693
_cell_length_c 7.5662
_cell_angle_alpha 90.00
_cell_angle_beta 116.11
_cell_angle_gamma 90.00
loop_
_atom_site_label
_atom_site_fract_x
_atom_site_fract_y
_atom_site_fract_z
Nb1 0.0000 0.0000 0.0000
Si1 0.0000 0.5000 0.5000
Se1 0.1113 0.2861 0.8100
Se2 0.1567 0.0000 0.4128
```

(4)
NbSi3Se: optimized geometry, PBE.

Computed properties:
For the total magnetization, the calculation gives 0.0 μB per formula unit. The calculation puts the energy relative to the elements, uncorrected at 0.8586 eV per atom. The calculation puts the energy above the most stable polymorph in this dataset at 0.0 meV per atom.

```
data_NbSi3Se
_space_group_name_H-M_alt 'P m -3 m'
_space_group_IT_number 221
_space_group_name_Hall '-P 4 2 3'
_cell_length_a 4.9299
_cell_length_b 4.9299
_cell_length_c 4.9299
_cell_angle_alpha 90.00
_cell_angle_beta 90.00
_cell_angle_gamma 90.00
loop_
_atom_site_label
_atom_site_fract_x
_atom_site_fract_y
_atom_site_fract_z
Nb1 0.0000 0.0000 0.0000
Si1 0.0000 0.0000 0.5000
Se1 0.5000 0.5000 0.5000
```

(5)
NbSi2Se8: optimized geometry, PBE.

Computed properties:
For the total magnetization, the calculation gives 0.0 μB per formula unit. The calculation puts the energy relative to the elements, uncorrected at -0.3201 eV per atom.

```
data_NbSi2Se8
_space_group_name_H-M_alt 'C 1 2/m 1'
_space_group_IT_number 12
_space_group_name_Hall '-C 2y'
_cell_length_a 9.8305
_cell_length_b 10.8308
_cell_length_c 5.8695
_cell_angle_alpha 90.00
_cell_angle_beta 96.39
_cell_angle_gamma 90.00
loop_
_atom_site_label
_atom_site_fract_x
_atom_site_fract_y
_atom_site_fract_z
Nb1 0.0000 0.0000 0.0000
Si1 0.2158 0.0000 0.4442
Se1 0.0672 0.5000 0.6857
Se2 0.0969 0.1689 0.2911
Se3 0.2386 0.0000 0.8337
```

(6)
NbSiSe3: optimized geometry, PBE.

Computed properties:
For the total magnetization, the calculation gives 0.0 μB per formula unit. The calculation puts the energy relative to the elements, uncorrected at -0.5139 eV per atom. The calculation puts the energy above the most stable polymorph in this dataset at 0.0 meV per atom.

```
data_NbSiSe3
_space_group_name_H-M_alt 'P n m a'
_space_group_IT_number 62
_space_group_name_Hall '-P 2ac 2n'
_cell_length_a 12.0459
_cell_length_b 3.5991
_cell_length_c 11.9546
_cell_angle_alpha 90.00
_cell_angle_beta 90.00
_cell_angle_gamma 90.00
loop_
_atom_site_label
_atom_site_fract_x
_atom_site_fract_y
_atom_site_fract_z
Nb1 0.0563 0.2500 0.0825
Si1 0.2092 0.7500 0.2828
Se1 0.0845 0.2500 0.3188
Se2 0.0938 0.2500 0.8700
Se3 0.2277 0.7500 0.0907
```

(7)
Ti2NbSiSe: optimized geometry, PBE.

Computed properties:
For the total magnetization, the calculation gives 0.0 μB per formula unit. The calculation puts the energy relative to the elements, uncorrected at 0.9175 eV per atom.

```
data_Ti2NbSiSe
_space_group_name_H-M_alt 'P 4/m m m'
_space_group_IT_number 123
_space_group_name_Hall '-P 4 2'
_cell_length_a 4.8703
_cell_length_b 4.8703
_cell_length_c 4.7855
_cell_angle_alpha 90.00
_cell_angle_beta 90.00
_cell_angle_gamma 90.00
loop_
_atom_site_label
_atom_site_fract_x
_atom_site_fract_y
_atom_site_fract_z
Ti1 0.0000 0.5000 0.0000
Nb1 0.0000 0.0000 0.0000
Si1 0.5000 0.5000 0.5000
Se1 0.0000 0.0000 0.5000
```

(8)
NbSiWSe2: optimized geometry, PBE.

Computed properties:
For the total magnetization, the calculation gives 3.2 μB per formula unit. The calculation puts the energy relative to the elements, uncorrected at 0.9658 eV per atom.

```
data_NbSiWSe2
_space_group_name_H-M_alt 'P 4/m m m'
_space_group_IT_number 123
_space_group_name_Hall '-P 4 2'
_cell_length_a 4.8789
_cell_length_b 4.8789
_cell_length_c 4.8162
_cell_angle_alpha 90.00
_cell_angle_beta 90.00
_cell_angle_gamma 90.00
loop_
_atom_site_label
_atom_site_fract_x
_atom_site_fract_y
_atom_site_fract_z
Nb1 0.0000 0.0000 0.0000
Si1 0.5000 0.5000 0.0000
W1 0.5000 0.5000 0.5000
Se1 0.0000 0.5000 0.5000
```

(9)
SmNbSe2: optimized geometry, PBE.

Computed properties:
For the total magnetization, the calculation gives 0.0 μB per formula unit. The calculation puts the energy relative to the elements, uncorrected at -0.6597 eV per atom.

```
data_SmNbSe2
_space_group_name_H-M_alt 'R -3 m'
_space_group_IT_number 166
_space_group_name_Hall '-R 3 2"'
_cell_length_a 3.5342
_cell_length_b 3.5342
_cell_length_c 27.6719
_cell_angle_alpha 90.00
_cell_angle_beta 90.00
_cell_angle_gamma 120.00
loop_
_atom_site_label
_atom_site_fract_x
_atom_site_fract_y
_atom_site_fract_z
Sm1 0.0000 0.0000 0.0000
Nb1 0.0000 0.0000 0.5000
Se1 0.0000 0.0000 0.1055
```

(10)
SmNbSe3: optimized geometry, PBE.

Computed properties:
For the total magnetization, the calculation gives 0.0 μB per formula unit. The calculation puts the energy relative to the elements, uncorrected at -1.3330 eV per atom.

```
data_SmNbSe3
_space_group_name_H-M_alt 'C 1 2/m 1'
_space_group_IT_number 12
_space_group_name_Hall '-C 2y'
_cell_length_a 14.7373
_cell_length_b 3.7482
_cell_length_c 8.4778
_cell_angle_alpha 90.00
_cell_angle_beta 92.02
_cell_angle_gamma 90.00
loop_
_atom_site_label
_atom_site_fract_x
_atom_site_fract_y
_atom_site_fract_z
Sm1 0.1037 0.0000 0.3987
Nb1 0.2060 0.5000 0.8792
Se1 0.0536 0.5000 0.6705
Se2 0.1218 0.0000 0.0356
Se3 0.2481 0.0000 0.6640
```

(11)
Sm3NbSe6: optimized geometry, PBE.

Computed properties:
For the total magnetization, the calculation gives 2.0 μB per formula unit. The calculation puts the energy relative to the elements, uncorrected at -1.4448 eV per atom.

```
data_Sm3NbSe6
_space_group_name_H-M_alt 'C m c 21'
_space_group_IT_number 36
_space_group_name_Hall 'C 2c -2'
_cell_length_a 11.4061
_cell_length_b 14.1120
_cell_length_c 6.9670
_cell_angle_alpha 90.00
_cell_angle_beta 90.00
_cell_angle_gamma 90.00
loop_
_atom_site_label
_atom_site_fract_x
_atom_site_fract_y
_atom_site_fract_z
Sm1 0.0000 0.0962 0.0000
Sm2 0.1810 0.4039 0.0932
Nb1 0.0000 0.3002 0.6359
Se1 0.0000 0.2789 0.2726
Se2 0.0000 0.4654 0.7921
Se3 0.1626 0.0321 0.2957
Se4 0.1707 0.2334 0.8187
```

(12)
Sm3NbTl3Se8: optimized geometry, PBE.

Computed properties:
For the total magnetization, the calculation gives 1.0 μB per formula unit. The calculation puts the energy relative to the elements, uncorrected at -1.2076 eV per atom.

```
data_Sm3NbTl3Se8
_space_group_name_H-M_alt 'R -3 m'
_space_group_IT_number 166
_space_group_name_Hall '-R 3 2"'
_cell_length_a 8.2556
_cell_length_b 8.2556
_cell_length_c 23.6342
_cell_angle_alpha 90.00
_cell_angle_beta 90.00
_cell_angle_gamma 120.00
loop_
_atom_site_label
_atom_site_fract_x
_atom_site_fract_y
_atom_site_fract_z
Sm1 0.0000 0.5000 0.0000
Nb1 0.0000 0.0000 0.0000
Tl1 0.0000 0.5000 0.5000
Se1 0.0000 0.0000 0.2628
Se2 0.0272 0.5136 0.7329
```